Record 1
VASP calculation (GGA-PBE) on In3HgTe after structural relaxation.

a b c (Å): 5.542 5.542 5.542
angles (deg): 90.00 90.00 90.00
Sites, in units of the cell vectors:
Te: 0.500 0.500 0.500
Hg: 0.000 0.000 0.000
In: 0.000 0.500 0.000
In: 0.000 0.000 0.500
In: 0.500 0.000 0.000

Output
For the uncorrected formation energy, the calculation gives 138 meV/atom. The calculation puts the excess energy over the best structure of this formula in the dataset at 216 meV per atom. For the density of states at the Fermi level, the calculation gives 1.44 states/eV/cell. As for the crystal system: cubic.

---

Record 2
VASP calculation (GGA-PBE) on InHg2Te after structural relaxation.

a b c (Å): 4.428 4.404 12.738
angles (deg): 90.00 100.20 90.00
Sites, in units of the cell vectors:
In: 0.694 0.750 0.392
In: 0.306 0.250 0.608
Hg: 0.565 0.250 0.122
Hg: 0.435 0.750 0.878
Hg: 0.059 0.750 0.110
Hg: 0.941 0.250 0.890
Te: 0.180 0.250 0.364
Te: 0.820 0.750 0.636

Output
For the uncorrected formation energy, the calculation gives -114 meV/atom. The calculation puts the excess energy over the best structure of this formula in the dataset at 0 meV per atom. For the density of states at the Fermi level, the calculation gives 2.02 states/eV/cell. As for the crystal system: monoclinic.

---

Record 3
VASP calculation (GGA-PBE) on InHg2Te after structural relaxation.

a b c (Å): 12.119 12.119 12.119
angles (deg): 15.66 15.66 15.66
Sites, in units of the cell vectors:
Hg: 0.994 0.994 0.994
Hg: 0.506 0.506 0.506
In: 0.250 0.250 0.250
Te: 0.750 0.750 0.750

Output
For the uncorrected formation energy, the calculation gives 87 meV/atom. The calculation puts the excess energy over the best structure of this formula in the dataset at 201 meV per atom. For the density of states at the Fermi level, the calculation gives 2.34 states/eV/cell. As for the crystal system: trigonal.